# 1
{"formula": "LaDyBi2Te2", "functional": "GGA-PBE", "state": "optimized geometry", "cell": [[4.450, 0.000, 0.000], [0.000, 4.450, 0.000], [0.000, 0.000, 9.508]], "species": ["La", "Dy", "Bi", "Bi", "Te", "Te"], "frac_coords": [[0.000, 0.000, 0.000], [0.500, 0.500, 0.571], [0.000, 0.500, 0.292], [0.500, 0.000, 0.292], [0.000, 0.000, 0.651], [0.500, 0.500, 0.906]], "final_energy_ev_per_fu": -30.5}

# 2
{"formula": "BaCdSO", "functional": "GGA-PBE", "state": "optimized geometry", "cell": [[6.444, 0.000, 0.000], [0.000, 4.217, 0.000], [0.000, 0.000, 14.606]], "species": ["Ba", "Ba", "Ba", "Ba", "Cd", "Cd", "Cd", "Cd", "S", "S", "S", "S", "O", "O", "O", "O"], "frac_coords": [[0.246, 0.250, 0.096], [0.254, 0.750, 0.596], [0.746, 0.250, 0.404], [0.754, 0.750, 0.904], [0.180, 0.750, 0.320], [0.320, 0.250, 0.820], [0.680, 0.750, 0.180], [0.820, 0.250, 0.680], [0.249, 0.750, 0.920], [0.251, 0.250, 0.420], [0.749, 0.750, 0.580], [0.751, 0.250, 0.080], [0.168, 0.250, 0.688], [0.332, 0.750, 0.188], [0.668, 0.250, 0.812], [0.832, 0.750, 0.312]], "final_energy_ev_per_fu": -18.4}

# 3
{"formula": "TaBTe", "functional": "GGA-PBE", "state": "optimized geometry", "cell": [[0.000, 2.954, 2.954], [2.954, 0.000, 2.954], [2.954, 2.954, 0.000]], "species": ["Ta", "B", "Te"], "frac_coords": [[0.000, 0.000, 0.000], [0.250, 0.250, 0.250], [0.500, 0.500, 0.500]], "final_energy_ev_per_fu": -18.5, "de_polymorph_mev_per_atom": 0}

# 4
{"formula": "Y2Sn3Hg2", "functional": "GGA-PBE", "state": "optimized geometry", "cell": [[2.425, 1.400, 9.591], [-2.425, 1.400, 9.591], [0.000, -2.800, 9.591]], "species": ["Y", "Y", "Sn", "Sn", "Sn", "Hg", "Hg"], "frac_coords": [[0.000, 0.000, 0.000], [0.478, 0.478, 0.478], [0.371, 0.371, 0.371], [0.606, 0.606, 0.606], [0.890, 0.890, 0.890], [0.182, 0.182, 0.182], [0.753, 0.753, 0.753]], "final_energy_ev_per_fu": -27.7}

# 5
{"formula": "Pr5Ga2Sn", "functional": "GGA-PBE", "state": "optimized geometry", "cell": [[-4.065, 4.065, 7.257], [4.065, -4.065, 7.257], [4.065, 4.065, -7.257]], "species": ["Pr", "Pr", "Pr", "Pr", "Pr", "Pr", "Pr", "Pr", "Pr", "Pr", "Ga", "Ga", "Ga", "Ga", "Sn", "Sn"], "frac_coords": [[0.000, 0.000, 0.000], [0.024, 0.524, 0.840], [0.184, 0.024, 0.500], [0.316, 0.816, 0.840], [0.476, 0.316, 0.500], [0.500, 0.500, 0.000], [0.524, 0.684, 0.500], [0.684, 0.184, 0.160], [0.816, 0.976, 0.500], [0.976, 0.476, 0.160], [0.120, 0.380, 0.500], [0.380, 0.880, 0.260], [0.620, 0.120, 0.740], [0.880, 0.620, 0.500], [0.250, 0.250, 0.000], [0.750, 0.750, 0.000]], "final_energy_ev_per_fu": -38.2}

# 6
{"formula": "LiMg2Cd", "functional": "GGA-PBE", "state": "optimized geometry", "cell": [[4.838, 0.000, 0.000], [-2.419, 4.190, 0.000], [0.000, 0.000, 8.619]], "species": ["Li", "Li", "Mg", "Mg", "Mg", "Mg", "Cd", "Cd"], "frac_coords": [[0.000, 0.000, 0.000], [0.000, 0.000, 0.500], [0.333, 0.667, 0.086], [0.333, 0.667, 0.414], [0.667, 0.333, 0.586], [0.667, 0.333, 0.914], [0.333, 0.667, 0.750], [0.667, 0.333, 0.250]], "final_energy_ev_per_fu": -6.0}

# 7
{"formula": "ZnSb", "functional": "GGA-PBE", "state": "optimized geometry", "cell": [[5.404, 0.000, 0.000], [0.000, 5.344, 0.000], [-2.682, 0.000, 7.700]], "species": ["Zn", "Zn", "Zn", "Zn", "Zn", "Sb", "Sb", "Sb", "Sb", "Sb"], "frac_coords": [[0.000, 0.000, 0.000], [0.097, 0.500, 0.211], [0.267, 0.500, 0.590], [0.473, 0.500, 0.969], [0.593, 0.000, 0.182], [0.176, 0.000, 0.357], [0.410, 0.000, 0.826], [0.658, 0.500, 0.336], [0.791, 0.000, 0.592], [0.911, 0.500, 0.843]], "final_energy_ev_per_fu": -5.0}

# 8
{"formula": "TmBr2", "functional": "GGA-PBE", "state": "optimized geometry", "cell": [[3.775, 0.000, 0.000], [-1.887, 3.269, 0.000], [0.000, 0.000, 13.833]], "species": ["Tm", "Tm", "Br", "Br", "Br", "Br"], "frac_coords": [[0.333, 0.667, 0.000], [0.667, 0.333, 0.500], [0.000, 0.000, 0.130], [0.000, 0.000, 0.630], [0.333, 0.667, 0.370], [0.667, 0.333, 0.870]], "final_energy_ev_per_fu": -12.4}

# 9
{"formula": "NaBAu", "functional": "GGA-PBE", "state": "optimized geometry", "cell": [[0.000, 2.880, 2.880], [2.880, 0.000, 2.880], [2.880, 2.880, 0.000]], "species": ["Na", "B", "Au"], "frac_coords": [[0.000, 0.000, 0.000], [0.750, 0.750, 0.750], [0.500, 0.500, 0.500]], "final_energy_ev_per_fu": -9.1, "de_polymorph_mev_per_atom": 0}

# 10
{"formula": "AgB4Au", "functional": "GGA-PBE", "state": "optimized geometry", "cell": [[3.020, 0.000, 0.000], [-1.510, 2.615, 0.000], [0.000, 0.000, 8.220]], "species": ["Ag", "B", "B", "B", "B", "Au"], "frac_coords": [[0.000, 0.000, 0.000], [0.333, 0.667, 0.250], [0.333, 0.667, 0.750], [0.667, 0.333, 0.250], [0.667, 0.333, 0.750], [0.000, 0.000, 0.500]], "final_energy_ev_per_fu": -29.2, "de_polymorph_mev_per_atom": 8}

# 11
{"formula": "Na2Gd", "functional": "GGA-PBE", "state": "optimized geometry", "cell": [[0.000, 3.870, 3.870], [3.870, 0.000, 3.870], [3.870, 3.870, 0.000]], "species": ["Na", "Na", "Gd"], "frac_coords": [[0.250, 0.250, 0.250], [0.750, 0.750, 0.750], [0.000, 0.000, 0.000]], "final_energy_ev_per_fu": -4.7, "de_polymorph_mev_per_atom": 550}

# 12
{"formula": "PmSb", "functional": "GGA-PBE", "state": "optimized geometry", "cell": [[6.555, 0.000, 0.000], [0.000, 6.098, 0.000], [0.000, 0.000, 6.083]], "species": ["Pm", "Pm", "Pm", "Pm", "Sb", "Sb", "Sb", "Sb"], "frac_coords": [[0.000, 0.000, 0.000], [0.250, 0.500, 0.324], [0.500, 0.000, 0.000], [0.750, 0.500, 0.676], [0.250, 0.000, 0.482], [0.250, 0.500, 0.829], [0.750, 0.000, 0.518], [0.750, 0.500, 0.171]], "final_energy_ev_per_fu": -10.4, "de_polymorph_mev_per_atom": 414}

# 13
{"formula": "CsFeAg", "functional": "GGA-PBE", "state": "optimized geometry", "cell": [[0.000, 3.857, 3.857], [3.857, 0.000, 3.857], [3.857, 3.857, 0.000]], "species": ["Cs", "Fe", "Ag"], "frac_coords": [[0.000, 0.000, 0.000], [0.500, 0.500, 0.500], [0.250, 0.250, 0.250]], "final_energy_ev_per_fu": -8.4, "de_polymorph_mev_per_atom": 19}

# 14
{"formula": "Pm3SnC", "functional": "GGA-PBE", "state": "optimized geometry", "cell": [[5.058, 0.000, 0.000], [0.000, 5.058, 0.000], [0.000, 0.000, 5.058]], "species": ["Pm", "Pm", "Pm", "Sn", "C"], "frac_coords": [[0.000, 0.000, 0.500], [0.000, 0.500, 0.000], [0.500, 0.000, 0.000], [0.500, 0.500, 0.500], [0.000, 0.000, 0.000]], "final_energy_ev_per_fu": -30.0}

# 15
{"formula": "DyAlSi", "functional": "GGA-PBE", "state": "optimized geometry", "cell": [[7.024, 0.000, 0.000], [-3.512, 6.083, 0.000], [0.000, 0.000, 4.102]], "species": ["Dy", "Dy", "Dy", "Al", "Al", "Al", "Si", "Si", "Si"], "frac_coords": [[0.000, 0.391, 0.000], [0.391, 0.000, 0.000], [0.609, 0.609, 0.000], [0.000, 0.744, 0.500], [0.256, 0.256, 0.500], [0.744, 0.000, 0.500], [0.000, 0.000, 0.000], [0.333, 0.667, 0.500], [0.667, 0.333, 0.500]], "final_energy_ev_per_fu": -15.5}

# 16
{"formula": "GdYGa2Cl2", "functional": "GGA-PBE", "state": "optimized geometry", "cell": [[4.091, 0.000, 0.000], [-2.046, 3.543, 0.000], [0.000, 0.000, 10.955]], "species": ["Gd", "Y", "Ga", "Ga", "Cl", "Cl"], "frac_coords": [[0.000, 0.000, 0.000], [0.000, 0.000, 0.621], [0.333, 0.667, 0.841], [0.667, 0.333, 0.779], [0.333, 0.667, 0.478], [0.667, 0.333, 0.145]], "final_energy_ev_per_fu": -29.1}

# 17
{"formula": "ThInTc", "functional": "GGA-PBE", "state": "optimized geometry", "cell": [[0.000, 3.406, 3.406], [3.406, 0.000, 3.406], [3.406, 3.406, 0.000]], "species": ["Th", "In", "Tc"], "frac_coords": [[0.000, 0.000, 0.000], [0.750, 0.750, 0.750], [0.500, 0.500, 0.500]], "final_energy_ev_per_fu": -18.7}

# 18
{"formula": "ZnH9C13NO5", "functional": "GGA-PBE", "state": "optimized geometry", "cell": [[7.593, 0.000, 0.000], [2.358, 7.741, 0.000], [2.564, 2.263, 9.090]], "species": ["Zn", "Zn", "H", "H", "H", "H", "H", "H", "H", "H", "H", "H", "H", "H", "H", "H", "H", "H", "H", "H", "C", "C", "C", "C", "C", "C", "C", "C", "C", "C", "C", "C", "C", "C", "C", "C", "C", "C", "C", "C", "C", "C", "C", "C", "C", "C", "N", "N", "O", "O", "O", "O", "O", "O", "O", "O", "O", "O"], "frac_coords": [[0.006, 0.125, 0.105], [0.994, 0.875, 0.895], [0.138, 0.497, 0.872], [0.146, 0.190, 0.563], [0.148, 0.040, 0.377], [0.151, 0.324, 0.700], [0.326, 0.755, 0.360], [0.342, 0.098, 0.911], [0.346, 0.157, 0.048], [0.362, 0.793, 0.539], [0.372, 0.411, 0.087], [0.628, 0.589, 0.913], [0.638, 0.207, 0.461], [0.654, 0.843, 0.952], [0.658, 0.902, 0.089], [0.674, 0.245, 0.640], [0.849, 0.676, 0.300], [0.852, 0.960, 0.623], [0.854, 0.810, 0.437], [0.862, 0.503, 0.128], [0.000, 0.450, 0.448], [0.000, 0.550, 0.552], [0.075, 0.561, 0.775], [0.082, 0.268, 0.469], [0.082, 0.465, 0.676], [0.083, 0.181, 0.365], [0.210, 0.743, 0.132], [0.340, 0.596, 0.216], [0.381, 0.623, 0.339], [0.401, 0.882, 0.771], [0.406, 0.431, 0.182], [0.448, 0.680, 0.605], [0.483, 0.485, 0.433], [0.484, 0.707, 0.729], [0.516, 0.293, 0.271], [0.517, 0.515, 0.567], [0.552, 0.320, 0.395], [0.594, 0.569, 0.818], [0.599, 0.118, 0.229], [0.619, 0.377, 0.661], [0.660, 0.404, 0.784], [0.790, 0.257, 0.868], [0.917, 0.819, 0.635], [0.918, 0.535, 0.324], [0.918, 0.732, 0.531], [0.925, 0.439, 0.225], [0.008, 0.265, 0.245], [0.992, 0.735, 0.755], [0.145, 0.883, 0.180], [0.168, 0.716, 0.023], [0.242, 0.971, 0.740], [0.267, 0.184, 0.973], [0.492, 0.932, 0.838], [0.508, 0.068, 0.162], [0.733, 0.816, 0.027], [0.758, 0.029, 0.260], [0.832, 0.284, 0.977], [0.855, 0.117, 0.820]], "final_energy_ev_per_fu": -195.6}

# 19
{"formula": "GePdSO", "functional": "GGA-PBE", "state": "optimized geometry", "cell": [[7.117, 0.000, 0.000], [0.000, 9.350, 0.000], [0.000, 0.000, 7.533]], "species": ["Ge", "Ge", "Ge", "Ge", "Ge", "Ge", "Ge", "Ge", "Pd", "Pd", "Pd", "Pd", "Pd", "Pd", "Pd", "Pd", "S", "S", "S", "S", "S", "S", "S", "S", "O", "O", "O", "O", "O", "O", "O", "O"], "frac_coords": [[0.249, 0.074, 0.187], [0.249, 0.426, 0.687], [0.251, 0.574, 0.187], [0.251, 0.926, 0.687], [0.749, 0.074, 0.313], [0.749, 0.426, 0.813], [0.751, 0.574, 0.313], [0.751, 0.926, 0.813], [0.002, 0.750, 0.499], [0.002, 0.750, 0.999], [0.498, 0.250, 0.499], [0.498, 0.250, 0.999], [0.502, 0.750, 0.001], [0.502, 0.750, 0.501], [0.998, 0.250, 0.001], [0.998, 0.250, 0.501], [0.000, 0.100, 0.752], [0.000, 0.400, 0.252], [0.000, 0.600, 0.748], [0.000, 0.900, 0.248], [0.500, 0.100, 0.748], [0.500, 0.400, 0.248], [0.500, 0.600, 0.752], [0.500, 0.900, 0.252], [0.248, 0.145, 0.421], [0.248, 0.355, 0.921], [0.252, 0.645, 0.421], [0.252, 0.855, 0.921], [0.748, 0.145, 0.079], [0.748, 0.355, 0.579], [0.752, 0.645, 0.079], [0.752, 0.855, 0.579]], "final_energy_ev_per_fu": -21.0, "de_polymorph_mev_per_atom": 47}

# 20
{"formula": "BiAsW4N2", "functional": "GGA-PBE", "state": "optimized geometry", "cell": [[3.033, 0.000, 0.000], [-1.516, 2.626, 0.000], [0.000, 0.000, 14.671]], "species": ["Bi", "As", "W", "W", "W", "W", "N", "N"], "frac_coords": [[0.000, 0.000, 0.000], [0.333, 0.667, 0.500], [0.000, 0.000, 0.365], [0.000, 0.000, 0.635], [0.333, 0.667, 0.189], [0.333, 0.667, 0.811], [0.667, 0.333, 0.274], [0.667, 0.333, 0.726]], "final_energy_ev_per_fu": -73.0}